Here is crystalline Pr3Zn9Hg2 at its relaxed geometry from the Alexandria database. Energies are from GGA-PBE.

a b c (Å): 8.550 8.550 8.550
angles (deg): 149.06 116.09 72.69
Sites, in units of the cell vectors:
Pr1 0.000 0.000 0.000
Pr2 0.298 0.298 0.000
Pr3 0.702 0.702 0.000
Zn1 0.028 0.665 0.363
Zn2 0.130 0.855 0.275
Zn3 0.302 0.665 0.637
Zn4 0.421 0.145 0.275
Zn5 0.500 0.000 0.500
Zn6 0.579 0.855 0.725
Zn7 0.698 0.335 0.363
Zn8 0.870 0.145 0.725
Zn9 0.972 0.335 0.637
Hg1 0.304 0.500 0.804
Hg2 0.696 0.500 0.196

Summary:
Density of states at the Fermi level (states/eV/f.u.): 7.13
Final energy (eV per atom): -2.198
Total moment (μB/f.u.): 0.00
Formation energy (meV per atom): -311